1.
A relaxed structure of TaTiNbIn, computed with PBE.

a b c (Å): 4.7169 4.7169 4.7169
angles (deg): 60.00 60.00 60.00
Positions (direct):
Ta  0.5000  0.5000  0.5000
In  0.0000  0.0000  0.0000
Nb  0.7500  0.7500  0.7500
Ti  0.2500  0.2500  0.2500

Values from the calculation:
Offset from the most stable computed form, meV/atom: 0
Symmetry: F-43m (216)

---

2.
A relaxed structure of TaNbVIn2, computed with PBE.

a b c (Å): 5.2509 4.4224 5.2509
angles (deg): 90.00 90.00 90.00
Last column: magnetic moment on the atom in μB.
Positions (direct):
V  0.0000  0.5000  0.0000  0.50
In  0.0000  0.0000  0.5000  -0.03
In  0.5000  0.0000  0.0000  -0.01
Ta  0.0000  0.0000  0.0000  -0.12
Nb  0.5000  0.5000  0.5000  0.43

Values from the calculation:
Symmetry: P4/mmm (123)

---

3.
A relaxed structure of TaNb2InW, computed with PBE.

a b c (Å): 4.9058 4.8239 4.9058
angles (deg): 90.00 90.00 90.00
Positions (direct):
Nb  0.5000  0.0000  0.0000
Nb  0.0000  0.0000  0.5000
Ta  0.0000  0.0000  0.0000
W  0.0000  0.5000  0.0000
In  0.5000  0.5000  0.5000

Values from the calculation:
Symmetry: P4/mmm (123)

---

4.
A relaxed structure of TbNbIn2, computed with PBE.

a b c (Å): 3.2327 3.2327 10.5254
angles (deg): 81.17 81.17 60.00
Positions (direct):
Tb  0.5000  0.5000  0.5000
Nb  0.0000  0.0000  0.0000
In  0.7438  0.7438  0.7686
In  0.2562  0.2562  0.2314

Values from the calculation:
Symmetry: R-3m (166)

---

5.
A relaxed structure of TbNbIn, computed with PBE.

a b c (Å): 3.4777 3.4777 13.4939
angles (deg): 90.00 90.00 90.00
Positions (direct):
Nb  0.5000  0.0000  0.5489
Nb  0.0000  0.5000  0.4511
In  0.5000  0.0000  0.3220
In  0.0000  0.5000  0.6780
Tb  0.0000  0.5000  0.9095
Tb  0.5000  0.0000  0.0905

Values from the calculation:
Symmetry: P4/nmm (129)

---

6.
A relaxed structure of NbInTc4, computed with PBE.

a b c (Å): 5.1958 5.1958 5.1958
angles (deg): 60.00 60.00 60.00
Positions (direct):
Tc  0.6256  0.1232  0.6256
Tc  0.1232  0.6256  0.6256
Tc  0.6256  0.6256  0.6256
Tc  0.6256  0.6256  0.1232
Nb  0.2500  0.2500  0.2500
In  0.0000  0.0000  0.0000

Values from the calculation:
Symmetry: F-43m (216)

---

Number 1: energy of formation from the pure elements 0.029 eV per atom, raw total energy -32.44 eV for the cell shown. Number 2: energy of formation from the pure elements 1.440 eV per atom, raw total energy -29.32 eV for the cell shown. Number 3: energy of formation from the pure elements 1.501 eV per atom, raw total energy -40.18 eV for the cell shown. Number 4: energy of formation from the pure elements 0.030 eV per atom, raw total energy -20.06 eV for the cell shown. Number 5: energy of formation from the pure elements 0.214 eV per atom, raw total energy -33.59 eV for the cell shown. Number 6: energy of formation from the pure elements 0.067 eV per atom, raw total energy -53.87 eV for the cell shown.